Material: ZrNiF2
Method: DFT, PBE+U
State: optimized geometry

a b c (Å): 4.074 4.074 4.074
angles (deg): 60.00 60.00 60.00
Element x y z (fractional)
Zr (0.000, 0.000, 0.000)
Ni (0.500, 0.500, 0.500)
F (0.250, 0.250, 0.250)
F (0.750, 0.750, 0.750)

Values from the calculation:
As for the density: 6.5 g cm⁻³. The calculation puts the energy above the most stable polymorph in this dataset at 620 meV/atom. The space-group type is Fm-3m, No. 225.